Run one
Below is TePWI2 after structural relaxation, with properties calculated at the PBE-GGA level.

a = 5.6890 Å, b = 5.6890 Å, c = 5.2408 Å
α = 90.00°, β = 90.00°, γ = 90.00°
Closest atoms and distances in Å follow each position.
Fractional positions:
1 Te 0.0000 0.0000 0.5000  2 W 2.62
2 P 0.5000 0.5000 0.5000  8 I 3.87, 4 Te 4.02
3 I 0.0000 0.5000 0.0000  2 W 2.84
4 I 0.5000 0.0000 0.0000  2 W 2.84
5 W 0.0000 0.0000 0.0000  2 Te 2.62, 4 I 2.84

Results
**Symmetry**: P4/mmm, No. 123
**DOS(E_F)**: 0.668 states/eV per atom

Run two
Below is TePWI2 after structural relaxation, with properties calculated at the PBE-GGA level.

a = 5.2733 Å, b = 5.2733 Å, c = 5.5271 Å
α = 90.00°, β = 90.00°, γ = 90.00°
Closest atoms and distances in Å follow each position.
Fractional positions:
1 I 0.5000 0.0000 0.0000  2 P 2.64
2 I 0.0000 0.5000 0.0000  2 P 2.64
3 Te 0.0000 0.0000 0.5000  2 P 2.76
4 P 0.0000 0.0000 0.0000  4 I 2.64, 2 Te 2.76
5 W 0.5000 0.5000 0.5000  4 Te 3.73, 8 I 3.82

Results
**Symmetry**: P4/mmm, No. 123
**DOS(E_F)**: 1.107 states/eV per atom

We find run one to be the most stable, with the next structure 0.375 eV/atom higher.

Run one
Below is YTe2PI after structural relaxation, with properties calculated at the PBE-GGA level.

a = 5.3764 Å, b = 5.3764 Å, c = 5.1825 Å
α = 90.00°, β = 90.00°, γ = 90.00°
Closest atoms and distances in Å follow each position.
Fractional positions:
1 Y 0.5000 0.5000 0.5000  8 Te 3.73, 4 I 3.80
2 Te 0.0000 0.5000 0.0000  2 P 2.69
3 Te 0.5000 0.0000 0.0000  2 P 2.69
4 I 0.0000 0.0000 0.5000  2 P 2.59
5 P 0.0000 0.0000 0.0000  2 I 2.59, 4 Te 2.69

Results
**Symmetry**: P4/mmm, No. 123
**DOS(E_F)**: 0.141 states/eV per atom

Run two
Below is YTe2PI after structural relaxation, with properties calculated at the PBE-GGA level.

a = 5.9460 Å, b = 5.9460 Å, c = 5.9241 Å
α = 90.00°, β = 90.00°, γ = 90.00°
Closest atoms and distances in Å follow each position.
Fractional positions:
1 Te 0.0000 0.5000 0.0000  2 Y 2.97
2 Te 0.5000 0.0000 0.0000  2 Y 2.97
3 P 0.5000 0.5000 0.5000  8 Te 4.20, 4 I 4.20
4 Y 0.0000 0.0000 0.0000  2 I 2.96, 4 Te 2.97
5 I 0.0000 0.0000 0.5000  2 Y 2.96

Results
**Symmetry**: P4/mmm, No. 123
**DOS(E_F)**: 0.846 states/eV per atom

We find run one to be the most stable, with the next structure 0.314 eV/atom higher.

Run one
Below is ZnTePI2 after structural relaxation, with properties calculated at the PBE-GGA level.

a = 5.4533 Å, b = 5.4533 Å, c = 5.4595 Å
α = 90.00°, β = 90.00°, γ = 90.00°
Closest atoms and distances in Å follow each position.
Fractional positions:
1 I 0.5000 0.0000 0.0000  2 P 2.73
2 I 0.0000 0.5000 0.0000  2 P 2.73
3 Te 0.0000 0.0000 0.5000  2 P 2.73
4 Zn 0.5000 0.5000 0.5000  4 Te 3.86, 8 I 3.86
5 P 0.0000 0.0000 0.0000  4 I 2.73, 2 Te 2.73

Results
**Symmetry**: P4/mmm, No. 123
**DOS(E_F)**: 0.719 states/eV per atom

Run two
Below is ZnTePI2 after structural relaxation, with properties calculated at the PBE-GGA level.

a = 5.4627 Å, b = 5.4627 Å, c = 5.6024 Å
α = 90.00°, β = 90.00°, γ = 90.00°
Closest atoms and distances in Å follow each position.
Fractional positions:
1 I 0.0000 0.5000 0.0000  2 Zn 2.73
2 I 0.5000 0.0000 0.0000  2 Zn 2.73
3 P 0.5000 0.5000 0.5000  4 Te 3.86, 8 I 3.91
4 Te 0.0000 0.0000 0.5000  2 Zn 2.80
5 Zn 0.0000 0.0000 0.0000  4 I 2.73, 2 Te 2.80

Results
**Symmetry**: P4/mmm, No. 123
**DOS(E_F)**: 0.926 states/eV per atom

We find run one to be the most stable, with the next structure 0.289 eV/atom higher.